Entry 1:
# LiLaTc2, relaxed, DFT PBE-GGA
# Calculated total energy ... -6.531 eV/atom
# DFT formation energy ... 363 meV per atom
data_LiLaTc2
_chemical_formula_sum 'Li2 La2 Tc4'
_cell_length_a 4.659
_cell_length_b 4.659
_cell_length_c 6.582
_cell_angle_alpha 90.00
_cell_angle_beta 90.00
_cell_angle_gamma 90.00
_symmetry_space_group_name_H-M 'I -4 m 2'
_symmetry_Int_Tables_number 119
_symmetry_space_group_name_Hall 'I -4 -2'
loop_
_atom_site_label
_atom_site_fract_x
_atom_site_fract_y
_atom_site_fract_z
Li1 0.000 0.000 0.000
La1 0.000 0.500 0.750
Tc1 0.000 0.000 0.500
Tc2 0.000 0.500 0.250

=====

Entry 2:
# LiLaTc3, relaxed, DFT PBE-GGA
# Calculated total energy ... -6.505 eV/atom
# DFT formation energy ... 1083 meV per atom
data_LiLaTc3
_chemical_formula_sum 'Li1 La1 Tc3'
_cell_length_a 4.446
_cell_length_b 4.446
_cell_length_c 4.446
_cell_angle_alpha 90.00
_cell_angle_beta 90.00
_cell_angle_gamma 90.00
_symmetry_space_group_name_H-M 'P m -3 m'
_symmetry_Int_Tables_number 221
_symmetry_space_group_name_Hall '-P 4 2 3'
loop_
_atom_site_label
_atom_site_fract_x
_atom_site_fract_y
_atom_site_fract_z
Li1 0.000 0.000 0.000
La1 0.500 0.500 0.500
Tc1 0.000 0.000 0.500

=====

What is the DFT formation energy in the second record?
1083 meV per atom